Record 1
This record from Alexandria via LeMat-Bulk describes a relaxed structure of AcPr15Y4. The functional is PBE.

As for the space group: P4/mmm (123). The formation energy comes out at 13 meV per atom.

abc: 5.242 5.242 26.103
angles: 90.00 90.00 90.00
Positions (direct):
Ac: 0.000 0.000 0.000
Pr: 0.000 0.500 0.105
Pr: 0.000 0.500 0.302
Pr: 0.000 0.500 0.500
Pr: 0.000 0.500 0.698
Pr: 0.000 0.500 0.895
Pr: 0.500 0.000 0.105
Pr: 0.500 0.000 0.302
Pr: 0.500 0.000 0.500
Pr: 0.500 0.000 0.698
Pr: 0.500 0.000 0.895
Pr: 0.500 0.500 0.000
Pr: 0.500 0.500 0.204
Pr: 0.500 0.500 0.401
Pr: 0.500 0.500 0.599
Pr: 0.500 0.500 0.796
Y: 0.000 0.000 0.204
Y: 0.000 0.000 0.401
Y: 0.000 0.000 0.599
Y: 0.000 0.000 0.796


Record 2
This record from Alexandria via LeMat-Bulk describes a relaxed structure of PmNdBeSi. The functional is PBE.

As for the formation energy (no corrections): -173 meV/atom. As for the space group: F-43m (216).

abc: 5.035 5.035 5.035
angles: 60.00 60.00 60.00
Positions (direct):
Pm: 0.000 0.000 0.000
Nd: 0.500 0.500 0.500
Be: 0.250 0.250 0.250
Si: 0.750 0.750 0.750


Record 3
This record from Alexandria via LeMat-Bulk describes a relaxed structure of ReNiHg2. The functional is PBE.

The energy above the most stable polymorph in this dataset is 468 meV/atom. As for the space group: I-4m2 (119). The formation energy comes out at 897 meV per atom.

abc: 4.951 4.951 4.951
angles: 130.46 130.46 72.67
Positions (direct):
Re: 0.000 0.000 0.000
Ni: 0.750 0.250 0.500
Hg: 0.250 0.750 0.500
Hg: 0.500 0.500 0.000